! TiSnPd2 PBE optimized geometry; values from VASP
! Energy relative to the elements = -0.95 eV/f.u.
! Theoretical density = 8.5 g/cm³
&SYSTEM
  ibrav = 0, nat = 8, ntyp = 3
/
ATOMIC_SPECIES
Ti 47.87 Ti.upf
Sn 118.71 Sn.upf
Pd 106.42 Pd.upf
CELL_PARAMETERS angstrom
-2.0142 2.0142 9.1401
2.0142 -2.0142 9.1401
2.0142 2.0142 -9.1401
ATOMIC_POSITIONS crystal
Ti 0.0000 0.0000 0.0000
Ti 0.7500 0.2500 0.5000
Sn 0.2500 0.7500 0.5000
Sn 0.5000 0.5000 0.0000
Pd 0.1188 0.6250 0.9938
Pd 0.3750 0.3688 0.4938
Pd 0.6312 0.1250 0.0062
Pd 0.8750 0.8812 0.5062

! Ti2Sn2Pd7 PBE optimized geometry; values from VASP
! Energy relative to the elements = -4.03 eV/f.u.
! Theoretical density = 9.3 g/cm³
&SYSTEM
  ibrav = 0, nat = 11, ntyp = 3
/
ATOMIC_SPECIES
Ti 47.87 Ti.upf
Sn 118.71 Sn.upf
Pd 106.42 Pd.upf
CELL_PARAMETERS angstrom
4.9052 -4.1074 0.0000
4.9052 4.1074 0.0000
-0.7262 0.0000 4.7824
ATOMIC_POSITIONS crystal
Ti 0.2321 0.2321 0.2553
Ti 0.7679 0.7679 0.7447
Sn 0.2929 0.7071 0.5000
Sn 0.7071 0.2929 0.5000
Pd 0.0475 0.0475 0.7693
Pd 0.1032 0.4572 0.7625
Pd 0.4572 0.1032 0.7625
Pd 0.5000 0.5000 0.0000
Pd 0.5428 0.8968 0.2375
Pd 0.8968 0.5428 0.2375
Pd 0.9525 0.9525 0.2307

! TiSnPd6 PBE optimized geometry; values from VASP
! Energy relative to the elements = -4.59 eV/f.u.
! Theoretical density = 10.6 g/cm³
&SYSTEM
  ibrav = 0, nat = 8, ntyp = 3
/
ATOMIC_SPECIES
Ti 47.87 Ti.upf
Sn 118.71 Sn.upf
Pd 106.42 Pd.upf
CELL_PARAMETERS angstrom
3.9898 0.0000 0.0000
0.0000 3.9898 0.0000
0.0000 0.0000 7.9419
ATOMIC_POSITIONS crystal
Ti 0.0000 0.0000 0.0000
Sn 0.0000 0.0000 0.5000
Pd 0.0000 0.5000 0.2392
Pd 0.0000 0.5000 0.7608
Pd 0.5000 0.0000 0.2392
Pd 0.5000 0.0000 0.7608
Pd 0.5000 0.5000 0.0000
Pd 0.5000 0.5000 0.5000

> What is the energy relative to the elements in the second record?

-4.03 eV/f.u.

> The lowest theoretical density belongs to which entry?

TiSnPd2

> The lowest energy relative to the elements belongs to which entry?

TiSnPd6